## KRbLi3 (PBE)

Data for crystalline KRbLi3 at its relaxed geometry.

## Properties
ΔE to the lowest computed polymorph	0	meV per atom
electronic total energy	-5.57	eV/cell
symmetry	No. 221
E_form	448	meV/atom
theoretical density	0.918	Mg/m³

Cell: 6.408 6.408 6.408 Å, 90.00 90.00 90.00°
Sites, in units of the cell vectors:
K  0.000  0.000  0.000
Rb  0.500  0.500  0.500
Li  0.000  0.000  0.500
Li  0.000  0.500  0.000
Li  0.500  0.000  0.000